# DyErS2F2 (PBE, relaxed)
data_DyErS2F2
_symmetry_space_group_name_H-M 'P 4 m m'
_symmetry_Int_Tables_number 99
_symmetry_space_group_name_Hall 'P 4 -2'
_cell_length_a 3.731
_cell_length_b 3.731
_cell_length_c 6.762
_cell_angle_alpha 90.00
_cell_angle_beta 90.00
_cell_angle_gamma 90.00
loop_
_atom_site_label
_atom_site_fract_x
_atom_site_fract_y
_atom_site_fract_z
Dy1 0.000 0.000 0.000
Er1 0.500 0.500 0.543
S1 0.000 0.000 0.415
S2 0.500 0.500 0.129
F1 0.000 0.500 0.771
# - Uncorrected energy: -6.52 eV per atom